K2ZrIr3O12: optimized geometry, PBE.

Values from the calculation:
Fermi-level density of states: 7.61 states/eV per cell
spin magnetization: 4.9 μB/f.u.
final energy: -6.62 eV/atom
symmetry: No. 166
mass density: 5.519 g/cm3
formation energy (no corrections): -120.0 kJ/mol of atoms

Unit cell a=7.480 b=7.480 c=7.480 alpha=57.98 beta=57.98 gamma=57.98
Positions (direct):
K  0.110  0.110  0.110
K  0.890  0.890  0.890
Zr  0.500  0.500  0.500
Ir  0.000  0.500  0.500
Ir  0.500  0.000  0.500
Ir  0.500  0.500  0.000
O  0.164  0.569  0.569
O  0.183  0.183  0.581
O  0.183  0.581  0.183
O  0.419  0.817  0.817
O  0.431  0.431  0.836
O  0.431  0.836  0.431
O  0.569  0.164  0.569
O  0.569  0.569  0.164
O  0.581  0.183  0.183
O  0.817  0.419  0.817
O  0.817  0.817  0.419
O  0.836  0.431  0.431